Entry 1:
A plane-wave DFT calculation with PBE was carried out for a relaxed Er2ScS crystal.

Lattice parameters (Å, degrees): 3.5564 3.5564 9.8781 79.63 79.63 60.00
With the nearest neighbours (Å) after each atom.
Element x y z (fractional)
1 Er 0.1090 0.1090 0.6730  3 S 2.65
2 Er 0.8910 0.8910 0.3270  3 S 2.65
3 S 0.5000 0.5000 0.5000  6 Er 2.65
4 Sc 0.0000 0.0000 0.0000  2 Er 3.16

Values from the calculation:
Its uncorrected formation energy is -0.640 eV per atom. Its volume is 106 Å³/cell. Its energy is -5.5360 eV per atom.

Entry 2:
A plane-wave DFT calculation with PBE was carried out for a relaxed ErScS crystal.

Lattice parameters (Å, degrees): 3.6687 6.3256 6.2387 99.96 107.10 90.00
With the nearest neighbours (Å) after each atom.
Element x y z (fractional)
1 S 0.7580 0.2477 0.5160  3 Sc 2.56, 3 Er 2.68
2 S 0.2420 0.7523 0.4840  3 Sc 2.56, 3 Er 2.68
3 Er 0.8848 0.6427 0.7696  3 S 2.68
4 Er 0.1152 0.3573 0.2304  3 S 2.68
5 Sc 0.6221 0.8843 0.2443  3 S 2.56
6 Sc 0.3779 0.1157 0.7557  3 S 2.56

Values from the calculation:
Its uncorrected formation energy is -1.240 eV per atom. Its volume is 136 Å³/cell. Its energy is -6.2471 eV per atom.